This record from the Alexandria database describes an optimized crystal structure of Gd2ErLu. The functional is GGA-PBE.

Results
Relative energy among the computed polymorphs (meV per atom): 1
Magnetization (Bohr magnetons per cell): 14.6

POSCAR file:
```
Gd2ErLu
1.0
4.9568 0.0000 0.0000
0.0000 5.0053 0.0000
0.0000 0.0000 5.0053
Lu Er Gd
1 1 2
direct
0.5000 0.0000 0.0000
0.5000 0.5000 0.5000
0.0000 0.0000 0.5000
0.0000 0.5000 0.0000
```

This record from the Alexandria database describes an optimized crystal structure of Gd2ErLu. The functional is GGA-PBE.

Results
Relative energy among the computed polymorphs (meV per atom): 66
Magnetization (Bohr magnetons per cell): 15.4

POSCAR file:
```
Gd2ErLu
1.0
-2.4409 4.2108 2.8152
1.0184 0.6750 5.4883
3.0823 4.3557 1.7725
Gd Er Lu
2 1 1
direct
0.2500 0.2500 0.2500
0.7500 0.7500 0.7500
0.0000 0.0000 0.0000
0.5000 0.5000 0.5000
```

This record from the Alexandria database describes an optimized crystal structure of NdGdErLu. The functional is GGA-PBE.

Results
Magnetization (Bohr magnetons per cell): 7.4

POSCAR file:
```
NdGdErLu
1.0
5.6649 0.0000 0.0000
2.8325 4.9060 0.0000
2.8325 1.6353 4.6254
Lu Gd Er Nd
1 1 1 1
direct
0.0000 0.0000 0.0000
0.7500 0.7500 0.7500
0.5000 0.5000 0.5000
0.2500 0.2500 0.2500
```

This record from the Alexandria database describes an optimized crystal structure of GdErLuOs. The functional is GGA-PBE.

Results
Magnetization (Bohr magnetons per cell): 7.1

POSCAR file:
```
GdErLuOs
1.0
-3.8967 2.8667 -1.5772
-3.4819 -1.9530 -3.1547
-4.7060 -0.9557 1.6823
Er Os Gd Lu
1 1 1 1
direct
0.5000 0.5000 0.5000
0.2500 0.2500 0.2500
0.0000 0.0000 0.0000
0.7500 0.7500 0.7500
```

This record from the Alexandria database describes an optimized crystal structure of PrGdErLu. The functional is GGA-PBE.

Results
Magnetization (Bohr magnetons per cell): 7.4

POSCAR file:
```
PrGdErLu
1.0
5.6796 0.0000 0.0000
2.8398 4.9187 0.0000
2.8398 1.6396 4.6374
Lu Gd Er Pr
1 1 1 1
direct
0.0000 0.0000 0.0000
0.2500 0.2500 0.2500
0.5000 0.5000 0.5000
0.7500 0.7500 0.7500
```

This record from the Alexandria database describes an optimized crystal structure of GdErLuSn. The functional is GGA-PBE.

Results
Magnetization (Bohr magnetons per cell): 8.0

POSCAR file:
```
GdErLuSn
1.0
-0.2166 3.4342 4.1265
-1.2378 -1.7815 4.9156
3.7673 -0.1585 3.8276
Lu Sn Gd Er
1 1 1 1
direct
0.7500 0.7500 0.7500
0.2500 0.2500 0.2500
0.5000 0.5000 0.5000
0.0000 0.0000 0.0000
```

This record from the Alexandria database describes an optimized crystal structure of TbGdErLu. The functional is GGA-PBE.

Results
Magnetization (Bohr magnetons per cell): 7.8

POSCAR file:
```
TbGdErLu
1.0
-3.6265 4.2878 -0.3041
-2.6804 1.7493 4.6243
1.3109 4.9604 2.3033
Lu Tb Gd Er
1 1 1 1
direct
0.7500 0.7500 0.7500
0.0000 0.0000 0.0000
0.5000 0.5000 0.5000
0.2500 0.2500 0.2500
```

This record from the Alexandria database describes an optimized crystal structure of GdErTmLu. The functional is GGA-PBE.

Results
Magnetization (Bohr magnetons per cell): 7.8

POSCAR file:
```
GdErTmLu
1.0
-1.5219 -5.3606 0.4701
-0.7064 -3.1187 -4.5878
3.6506 -4.0595 -1.2108
Er Tm Lu Gd
1 1 1 1
direct
0.0000 0.0000 0.0000
0.2500 0.2500 0.2500
0.7500 0.7500 0.7500
0.5000 0.5000 0.5000
```

This record from the Alexandria database describes an optimized crystal structure of GdErLuZr. The functional is GGA-PBE.

Results
Magnetization (Bohr magnetons per cell): 5.7

POSCAR file:
```
GdErLuZr
1.0
-1.1573 2.7364 4.5556
-2.3661 -2.5531 4.1790
2.8240 -0.9690 4.5461
Er Lu Gd Zr
1 1 1 1
direct
0.0000 0.0000 0.0000
0.5000 0.5000 0.5000
0.7500 0.7500 0.7500
0.2500 0.2500 0.2500
```

This record from the Alexandria database describes an optimized crystal structure of Gd2ErMg. The functional is GGA-PBE.

Results
Relative energy among the computed polymorphs (meV per atom): 52
Magnetization (Bohr magnetons per cell): 14.9

POSCAR file:
```
Gd2ErMg
1.0
5.5035 0.0000 0.0000
2.7518 4.7662 0.0000
2.7518 1.5887 4.4936
Gd Er Mg
2 1 1
direct
0.7500 0.7500 0.7500
0.2500 0.2500 0.2500
0.0000 0.0000 0.0000
0.5000 0.5000 0.5000
```

This record from the Alexandria database describes an optimized crystal structure of Gd2ErMg. The functional is GGA-PBE.

Results
Relative energy among the computed polymorphs (meV per atom): 31
Magnetization (Bohr magnetons per cell): 15.9

POSCAR file:
```
Gd2ErMg
1.0
4.8440 0.0000 0.0000
0.0000 4.9716 0.0000
0.0000 0.0000 4.9716
Gd Er Mg
2 1 1
direct
0.0000 0.5000 0.0000
0.0000 0.0000 0.5000
0.5000 0.5000 0.5000
0.5000 0.0000 0.0000
```

This record from the Alexandria database describes an optimized crystal structure of Gd2ErMg. The functional is GGA-PBE.

Results
Relative energy among the computed polymorphs (meV per atom): 0
Magnetization (Bohr magnetons per cell): 14.9

POSCAR file:
```
Gd2ErMg
1.0
3.5846 0.0000 0.0000
0.0000 3.5846 0.0000
0.0000 0.0000 9.3162
Er Gd Mg
1 2 1
direct
0.5000 0.5000 0.5000
0.0000 0.0000 0.7624
0.0000 0.0000 0.2376
0.5000 0.5000 0.0000
```

This record from the Alexandria database describes an optimized crystal structure of Gd2ErMg. The functional is GGA-PBE.

Results
Relative energy among the computed polymorphs (meV per atom): 216
Magnetization (Bohr magnetons per cell): 14.6

POSCAR file:
```
Gd2ErMg
1.0
-1.7870 -2.8480 -0.7313
-0.0091 -2.6395 2.2073
-10.4230 2.8950 6.1007
Er Gd Mg
1 2 1
direct
0.5000 0.5000 0.5000
0.0894 0.0894 0.7319
0.9106 0.9106 0.2681
0.0000 0.0000 0.0000
```

This record from the Alexandria database describes an optimized crystal structure of GdErMgNi. The functional is GGA-PBE.

Results
Magnetization (Bohr magnetons per cell): 7.1

POSCAR file:
```
GdErMgNi
1.0
5.0532 0.0000 0.0000
2.5266 4.3762 0.0000
2.5266 1.4587 4.1259
Ni Mg Gd Er
1 1 1 1
direct
0.0000 0.0000 0.0000
0.5000 0.5000 0.5000
0.2500 0.2500 0.2500
0.7500 0.7500 0.7500
```

This record from the Alexandria database describes an optimized crystal structure of GdErMgOs. The functional is GGA-PBE.

Results
Magnetization (Bohr magnetons per cell): 7.1

POSCAR file:
```
GdErMgOs
1.0
4.9934 0.0000 0.0000
2.4967 4.3244 0.0000
2.4967 1.4415 4.0771
Os Er Mg Gd
1 1 1 1
direct
0.0000 0.0000 0.0000
0.2500 0.2500 0.2500
0.5000 0.5000 0.5000
0.7500 0.7500 0.7500
```

This record from the Alexandria database describes an optimized crystal structure of GdErMgPb. The functional is GGA-PBE.

Results
Magnetization (Bohr magnetons per cell): 7.6

POSCAR file:
```
GdErMgPb
1.0
-5.1727 -0.1199 1.4179
-2.0804 -4.4364 2.1845
-1.3583 -0.0513 5.1898
Mg Gd Pb Er
1 1 1 1
direct
0.0000 0.0000 0.0000
0.7500 0.7500 0.7500
0.5000 0.5000 0.5000
0.2500 0.2500 0.2500
```

This record from the Alexandria database describes an optimized crystal structure of GdErMgPd. The functional is GGA-PBE.

Results
Magnetization (Bohr magnetons per cell): 7.1

POSCAR file:
```
GdErMgPd
1.0
5.1355 0.0000 0.0000
2.5677 4.4474 0.0000
2.5677 1.4825 4.1931
Mg Er Pd Gd
1 1 1 1
direct
0.5000 0.5000 0.5000
0.7500 0.7500 0.7500
0.0000 0.0000 0.0000
0.2500 0.2500 0.2500
```

This record from the Alexandria database describes an optimized crystal structure of GdErMgPt. The functional is GGA-PBE.

Results
Magnetization (Bohr magnetons per cell): 7.1

POSCAR file:
```
GdErMgPt
1.0
5.0877 0.0000 0.0000
2.5438 4.4061 0.0000
2.5438 1.4687 4.1541
Mg Pt Er Gd
1 1 1 1
direct
0.2500 0.2500 0.2500
0.7500 0.7500 0.7500
0.0000 0.0000 0.0000
0.5000 0.5000 0.5000
```

This record from the Alexandria database describes an optimized crystal structure of GdErPuMg. The functional is GGA-PBE.

Results
Magnetization (Bohr magnetons per cell): 0.9

POSCAR file:
```
GdErPuMg
1.0
-5.2365 0.2692 1.4423
-3.1951 -4.3683 -0.5325
-1.7431 -2.6487 4.4181
Gd Er Mg Pu
1 1 1 1
direct
0.0000 0.0000 0.0000
0.5000 0.5000 0.5000
0.2500 0.2500 0.2500
0.7500 0.7500 0.7500
```

This record from the Alexandria database describes an optimized crystal structure of GdErMgSn. The functional is GGA-PBE.

Results
Magnetization (Bohr magnetons per cell): 7.4

POSCAR file:
```
GdErMgSn
1.0
5.2930 0.0000 0.0000
2.6465 4.5839 0.0000
2.6465 1.5280 4.3217
Gd Er Sn Mg
1 1 1 1
direct
0.0000 0.0000 0.0000
0.5000 0.5000 0.5000
0.2500 0.2500 0.2500
0.7500 0.7500 0.7500
```

Formation energy from the elements
In order: 0.0326 0.0979 0.0928 0.0880 0.0900 -0.2460 0.1093 0.1137 0.1927 0.0239 0.0034 -0.0278 0.1885 -0.1127 -0.1368 -0.2780 -0.3970 -0.5927 0.1450 -0.4008
Unit: eV per atom